## Cs2HgBC (PBE)

Data for a geometry-optimized Cs2HgBC structure.

E_form: 0.35 eV per atom
magnetization: 0.00 Bohr magnetons per cell

Cell: 6.825 3.097 6.825 Å, 90.00 90.00 90.00°
Sites, in units of the cell vectors:
C 0.000 0.000 0.000
Hg 0.500 0.500 0.500
B 0.000 0.500 0.000
Cs 0.000 0.000 0.500
Cs 0.500 0.000 0.000